VASP calculation (PBE-GGA) on crystalline SnHgRh2 at its relaxed geometry.

For the density of states at the Fermi level, the calculation gives 1.39 states/eV/f.u. The calculation puts the final energy at -4.606 eV/atom. The formation energy is 14.1 kJ per mole of atoms. The size of the total moment comes out at 0.00 Bohr magnetons per cell.

The space group is I-42d (No. 122) and the conventional cell measures 7.240, 7.240 and 5.870 Å, with angles of 90.00, 90.00 and 90.00 degrees. Symmetry generates all atoms from Sn at (0.000, 0.000, 0.000), Hg at (0.000, 0.000, 0.500) and Rh at (0.232, 0.750, 0.125).